No. 1
Entry from Alexandria: a relaxed structure of SrCrIrOs2 (PBE).

As for the formation energy: 1627 meV/atom. For the calculated volume, the calculation gives 24.78 Å³ per atom. The total magnetization is 4.21 μB/f.u.

The space group is P4/mmm (No. 123) and the conventional cell measures 4.7706, 4.7706 and 5.4433 Å, with angles of 90.00, 90.00 and 90.00 degrees. The distinct sites, in fractional coordinates, are Sr at (0.0000, 0.0000, 0.0000), Cr at (0.5000, 0.5000, 0.0000), Ir at (0.0000, 0.0000, 0.5000) and Os at (0.0000, 0.5000, 0.5000).

No. 2
Entry from Alexandria: a relaxed structure of Si2AsPt (PBE).

For the calculated volume, the calculation gives 20.99 Å³ per atom. The value obtained for the formation energy (no corrections) is -0.20 eV per atom. The total magnetization is 0.00 μB/f.u.

The space group is I-42d (No. 122) and the conventional cell measures 5.5489, 5.5489 and 10.9059 Å, with angles of 90.00, 90.00 and 90.00 degrees. The distinct sites, in fractional coordinates, are Si at (0.2316, 0.2500, 0.1250), As at (0.0000, 0.0000, 0.5000) and Pt at (0.0000, 0.0000, 0.0000).

No. 3
Entry from Alexandria: a relaxed structure of MnP4Ru (PBE).

As for the formation energy: 699 meV/atom. For the calculated volume, the calculation gives 14.08 Å³ per atom. The total magnetization is 3.08 μB/f.u.

The space group is F-43m (No. 216) and the conventional cell measures 6.9660, 6.9660 and 6.9660 Å, with angles of 90.00, 90.00 and 90.00 degrees. The distinct sites, in fractional coordinates, are Mn at (0.0000, 0.0000, 0.0000), P at (0.1255, 0.1255, 0.6255) and Ru at (0.2500, 0.2500, 0.2500).

No. 4
Entry from Alexandria: a relaxed structure of PmErCuHg (PBE).

As for the formation energy: -311 meV/atom. For the calculated volume, the calculation gives 24.23 Å³ per atom. The energy above the most stable polymorph in this dataset is 27 meV/atom. The total magnetization is 0.00 μB/f.u.

The space group is F-43m (No. 216) and the conventional cell measures 7.2916, 7.2916 and 7.2916 Å, with angles of 90.00, 90.00 and 90.00 degrees. The distinct sites, in fractional coordinates, are Pm at (0.0000, 0.0000, 0.0000), Er at (0.0000, 0.0000, 0.5000), Cu at (0.2500, 0.2500, 0.2500) and Hg at (0.2500, 0.2500, 0.7500).

No. 5
Entry from Alexandria: a relaxed structure of BeZnRe2 (PBE).

As for the formation energy: 237 meV/atom. For the calculated volume, the calculation gives 13.75 Å³ per atom. The total magnetization is 0.00 μB/f.u.

The space group is Cmm2 (No. 35) and the conventional cell measures 2.9273, 4.5037 and 8.3462 Å, with angles of 90.00, 90.00 and 90.00 degrees. The distinct sites, in fractional coordinates, are Be at (0.0000, 0.0000, 0.0000), Zn at (0.0000, 0.5000, 0.2309), Re at (0.0000, 0.0000, 0.5075) and Re at (0.0000, 0.5000, 0.7703).

No. 6
Entry from Alexandria: a relaxed structure of La2Te3 (PBE).

For the calculated volume, the calculation gives 41.75 Å³ per atom. The value obtained for the formation energy (no corrections) is -1.49 eV per atom. The total magnetization is 0.00 μB/f.u.

The space group is R-3m (No. 166, hexagonal axes) and the conventional cell measures 4.6871, 4.6871 and 32.9152 Å, with angles of 90.00, 90.00 and 120.00 degrees. The distinct sites, in fractional coordinates, are La at (0.0000, 0.0000, 0.1042), Te at (0.0000, 0.0000, 0.2763) and Te at (0.0000, 0.0000, 0.5000).

No. 7
Entry from Alexandria: a relaxed structure of Ca4I2N (PBE).

For the calculated volume, the calculation gives 31.33 Å³ per atom. The value obtained for the formation energy (no corrections) is -0.71 eV per atom. The total magnetization is 0.93 μB/f.u.

The space group is I4/mmm (No. 139) and the conventional cell measures 4.8213, 4.8213 and 18.8690 Å, with angles of 90.00, 90.00 and 90.00 degrees. The distinct sites, in fractional coordinates, are Ca at (0.0000, 0.0000, 0.1381), Ca at (0.0000, 0.5000, 0.0000), I at (0.0000, 0.0000, 0.3133) and N at (0.0000, 0.0000, 0.0000).

No. 8
Entry from Alexandria: a relaxed structure of Ce2PuGa (PBE).

As for the formation energy: -172 meV/atom. For the calculated volume, the calculation gives 24.66 Å³ per atom. The energy above the most stable polymorph in this dataset is 72 meV/atom. The total magnetization is 7.34 μB/f.u.

The space group is P4/mmm (No. 123) and the conventional cell measures 3.8215, 3.8215 and 6.7546 Å, with angles of 90.00, 90.00 and 90.00 degrees. The distinct sites, in fractional coordinates, are Ce at (0.0000, 0.0000, 0.2337), Pu at (0.5000, 0.5000, 0.5000) and Ga at (0.5000, 0.5000, 0.0000).